First-principles (PBE) data for a relaxed structure of PaAlPd, as listed in Alexandria via LeMat-Bulk.

Output
For the magnetic moment, the calculation gives 0.5 μB per formula unit. For the density of states at the Fermi level, the calculation gives 1.315 states/eV per atom. For the uncorrected energy, the calculation gives -0.2458 Ha/atom. For the calculated volume, the calculation gives 18.8 Å³ per atom. Its formation energy is -1.64 eV per formula unit.

a = 5.3426 Å, b = 5.6049 Å, c = 7.5391 Å
α = 90.00°, β = 90.00°, γ = 90.00°
Space group Imma (No. 74)
Inequivalent atoms, fractional coordinates:
Pa: 0.0000 0.2500 0.1399
Al: 0.2500 0.2500 0.7500
Pd: 0.0000 0.0000 0.5000